Entry 1:
The following is a GGA-PBE calculation of an optimized crystal structure of Y2ReRh, from the Alexandria database.

Unit cell a=4.8047 b=4.8047 c=4.8047 alpha=60.00 beta=60.00 gamma=60.00
With the nearest neighbours (Å) after each atom.
Fractional positions:
Y1 0.0000 0.0000 0.0000  4 Re 2.94, 4 Y 2.94
Y2 0.2500 0.2500 0.2500  4 Rh 2.94, 4 Y 2.94
Re1 0.7500 0.7500 0.7500  4 Y 2.94, 4 Rh 2.94
Rh1 0.5000 0.5000 0.5000  4 Re 2.94, 4 Y 2.94

Energy relative to the elements, eV per atom: 0.216
Symmetry: F-43m, No. 216
Total moment, μB/cell: 0.000



Entry 2:
The following is a GGA-PBE calculation of an optimized crystal structure of YRe2Rh, from the Alexandria database.

Unit cell a=2.7542 b=4.0816 c=6.3366 alpha=90.00 beta=90.00 gamma=90.00
With the nearest neighbours (Å) after each atom.
Fractional positions:
Y1 0.0000 0.0000 0.0000  2 Y 2.75
Re1 0.5000 0.5000 0.3023  3 Re 2.51-2.75, 4 Rh 2.76
Re2 0.5000 0.5000 0.6977  3 Re 2.51-2.75, 4 Rh 2.76
Rh1 0.0000 0.0000 0.5000  2 Rh 2.75, 8 Re 2.76

Polymorph energy (0 for the lowest one), meV/atom: 347.3
Energy relative to the elements, eV per atom: 0.344
Symmetry: Pmmm, No. 47
Total moment, μB/cell: 0.000



Entry 3:
The following is a GGA-PBE calculation of an optimized crystal structure of YRe2Rh2, from the Alexandria database.

Unit cell a=6.1129 b=6.1129 c=6.1129 alpha=140.04 beta=140.04 gamma=57.79
With the nearest neighbours (Å) after each atom.
Fractional positions:
Y1 0.0000 0.0000 0.0000  8 Re 3.17, 8 Rh 3.39
Re1 0.3912 0.3912 0.0000  1 Re 2.33, 4 Rh 2.58
Re2 0.6088 0.6088 0.0000  1 Re 2.33, 4 Rh 2.58
Rh1 0.2500 0.7500 0.5000  4 Re 2.58
Rh2 0.7500 0.2500 0.5000  4 Re 2.58

Polymorph energy (0 for the lowest one), meV/atom: 16.7
Energy relative to the elements, eV per atom: -0.027
Symmetry: I4/mmm, No. 139
Total moment, μB/cell: 0.000



Entry 4:
The following is a GGA-PBE calculation of an optimized crystal structure of Y2ReRh2, from the Alexandria database.

Unit cell a=6.7250 b=6.7250 c=4.4677 alpha=90.00 beta=90.00 gamma=90.00
With the nearest neighbours (Å) after each atom.
Fractional positions:
Y1 0.1768 0.3232 0.0000  6 Rh 2.83-3.10
Y2 0.3232 0.8232 0.0000  6 Rh 2.83-3.10
Y3 0.6768 0.1768 0.0000  6 Rh 2.83-3.10
Y4 0.8232 0.6768 0.0000  6 Rh 2.83-3.10
Re1 0.0000 0.0000 0.5000  4 Rh 2.59
Re2 0.5000 0.5000 0.5000  4 Rh 2.59
Rh1 0.1412 0.6412 0.5000  2 Re 2.59, 1 Rh 2.69, 2 Y 2.83
Rh2 0.3588 0.1412 0.5000  2 Re 2.59, 1 Rh 2.69, 2 Y 2.83
Rh3 0.6412 0.8588 0.5000  2 Re 2.59, 1 Rh 2.69, 2 Y 2.83
Rh4 0.8588 0.3588 0.5000  2 Re 2.59, 1 Rh 2.69, 2 Y 2.83

Energy relative to the elements, eV per atom: -0.333
Symmetry: P4/mbm, No. 127
Total moment, μB/cell: 0.000



Entry 5:
The following is a GGA-PBE calculation of an optimized crystal structure of YRe2Rh, from the Alexandria database.

Unit cell a=5.7627 b=5.7627 c=4.6159 alpha=109.41 beta=109.41 gamma=28.87
With the nearest neighbours (Å) after each atom.
Fractional positions:
Y1 0.0000 0.0000 0.0000  4 Rh 2.72, 2 Y 2.87
Re1 0.2218 0.2218 0.7196  6 Re 2.73-2.87, 2 Rh 2.74
Re2 0.7782 0.7782 0.2804  6 Re 2.73-2.87, 2 Rh 2.74
Rh1 0.5000 0.5000 0.5000  4 Y 2.72, 4 Re 2.74, 2 Rh 2.87

Polymorph energy (0 for the lowest one), meV/atom: 122.9
Energy relative to the elements, eV per atom: 0.120
Symmetry: C2/m, No. 12
Total moment, μB/cell: 0.000



Entry 6:
The following is a GGA-PBE calculation of an optimized crystal structure of YRe2Rh, from the Alexandria database.

Unit cell a=9.5190 b=9.5190 c=9.5190 alpha=17.50 beta=17.50 gamma=17.50
With the nearest neighbours (Å) after each atom.
Fractional positions:
Y1 0.0000 0.0000 0.0000  6 Y 2.90, 3 Rh 2.98, 3 Re 3.13
Re1 0.2394 0.2394 0.2394  9 Re 2.67-2.90
Re2 0.4984 0.4984 0.4984  9 Re 2.67-2.90, 3 Rh 2.74
Rh1 0.7546 0.7546 0.7546  3 Re 2.74, 6 Rh 2.90, 3 Y 2.98

Polymorph energy (0 for the lowest one), meV/atom: 301.0
Energy relative to the elements, eV per atom: 0.298
Symmetry: R3m, No. 160
Total moment, μB/cell: 0.000